(1)
Below is an optimized crystal structure of HoCo6, with properties calculated at the GGA-PBE level.

Cell: 7.8013 4.8040 9.7910 Å, 90.00 90.00 90.00°
Last column: nearest neighbours and their distance in Å.
Fractional positions:
Ho1 0.2393 0.2500 0.0594  11 Co 2.77-3.08
Ho2 0.2607 0.7500 0.5594  11 Co 2.77-3.08
Ho3 0.7393 0.2500 0.4406  11 Co 2.77-3.08
Ho4 0.7607 0.7500 0.9406  11 Co 2.77-3.08
Co1 0.0657 0.7500 0.0909  5 Co 2.40-2.54
Co2 0.0695 0.0106 0.3081  8 Co 2.30-2.55
Co3 0.0695 0.4894 0.3081  8 Co 2.30-2.55
Co4 0.0909 0.2500 0.5227  6 Co 2.40-2.68
Co5 0.1400 0.7500 0.8532  8 Co 2.40-2.68
Co6 0.1836 0.2500 0.7560  9 Co 2.35-2.61
Co7 0.3164 0.7500 0.2560  9 Co 2.35-2.61
Co8 0.3600 0.2500 0.3532  8 Co 2.40-2.68
Co9 0.4091 0.7500 0.0227  6 Co 2.40-2.68
Co10 0.4305 0.5106 0.8081  8 Co 2.30-2.55
Co11 0.4305 0.9894 0.8081  8 Co 2.30-2.55
Co12 0.4343 0.2500 0.5909  5 Co 2.40-2.54
Co13 0.5657 0.7500 0.4091  5 Co 2.40-2.54
Co14 0.5695 0.0106 0.1919  8 Co 2.30-2.55
Co15 0.5695 0.4894 0.1919  8 Co 2.30-2.55
Co16 0.5909 0.2500 0.9773  6 Co 2.40-2.68
Co17 0.6400 0.7500 0.6468  8 Co 2.40-2.68
Co18 0.6836 0.2500 0.7440  9 Co 2.35-2.61
Co19 0.8164 0.7500 0.2440  9 Co 2.35-2.61
Co20 0.8600 0.2500 0.1468  8 Co 2.40-2.68
Co21 0.9091 0.7500 0.4773  6 Co 2.40-2.68
Co22 0.9305 0.5106 0.6919  8 Co 2.30-2.55
Co23 0.9305 0.9894 0.6919  8 Co 2.30-2.55
Co24 0.9343 0.2500 0.9091  5 Co 2.40-2.54

Calculated values
Density of states at the Fermi level, states/eV/cell: 33.189
SG: Pnma, No. 62


(2)
Below is an optimized crystal structure of HoCo6, with properties calculated at the GGA-PBE level.

Cell: 5.2089 5.2089 5.2089 Å, 109.47 109.47 109.47°
Last column: nearest neighbours and their distance in Å.
Fractional positions:
Ho1 0.0000 0.0000 0.0000  24 Co 3.36
Co1 0.2500 0.5000 0.7500  4 Co 2.13
Co2 0.2500 0.7500 0.5000  4 Co 2.13
Co3 0.5000 0.2500 0.7500  4 Co 2.13
Co4 0.5000 0.7500 0.2500  4 Co 2.13
Co5 0.7500 0.2500 0.5000  4 Co 2.13
Co6 0.7500 0.5000 0.2500  4 Co 2.13

Calculated values
Density of states at the Fermi level, states/eV/cell: 11.835
SG: Im-3m, No. 229


So which one is most stable? That would be (1), about 598 meV per atom below the next structure.


(1)
Below is an optimized crystal structure of Ho2InCo, with properties calculated at the GGA-PBE level.

Cell: 3.3528 3.3528 7.9690 Å, 90.00 90.00 90.00°
Last column: nearest neighbours and their distance in Å.
Fractional positions:
Ho1 0.0000 0.0000 0.2059  4 Co 2.88
Ho2 0.0000 0.0000 0.7941  4 Co 2.88
In1 0.5000 0.5000 0.5000  8 Ho 3.33, 4 In 3.35
Co1 0.5000 0.5000 0.0000  8 Ho 2.88

Calculated values
Density of states at the Fermi level, states/eV/cell: 3.114
SG: P4/mmm, No. 123


(2)
Below is an optimized crystal structure of Ho2InCo, with properties calculated at the GGA-PBE level.

Cell: 8.7265 8.7265 8.7265 Å, 24.19 24.19 24.19°
Last column: nearest neighbours and their distance in Å.
Fractional positions:
Ho1 0.2305 0.2305 0.2305  3 Co 2.66
Ho2 0.7695 0.7695 0.7695  3 Co 2.66
In1 0.0000 0.0000 0.0000  6 Ho 3.36, 6 In 3.66
Co1 0.5000 0.5000 0.5000  6 Ho 2.66

Calculated values
Density of states at the Fermi level, states/eV/cell: 2.494
SG: R-3m, No. 166


So which one is most stable? That would be (1), about 144 meV per atom below the next structure.